Entry 1:
Density functional theory data (GGA-PBE) for crystalline Tb2PmZr at its relaxed geometry.

Output
- Calculated formation energy: 110 meV/atom
- DOS at the Fermi energy: 4.5 states/eV per cell

CIF file:
```
data_Tb2PmZr
_cell_length_a 4.9025
_cell_length_b 4.9025
_cell_length_c 4.9202
_cell_angle_alpha 90.00
_cell_angle_beta 90.00
_cell_angle_gamma 90.00
_space_group_name_H-M_alt 'P 4/m m m'
_space_group_IT_number 123
_space_group_name_Hall '-P 4 2'
loop_
_atom_site_label
_atom_site_fract_x
_atom_site_fract_y
_atom_site_fract_z
Tb1 0.0000 0.5000 0.0000
Pm1 0.0000 0.0000 0.5000
Zr1 0.5000 0.5000 0.5000
```

Entry 2:
Density functional theory data (GGA-PBE) for crystalline TbPmZr at its relaxed geometry.

Output
- Calculated formation energy: 112 meV/atom
- DOS at the Fermi energy: 12.1 states/eV per cell

CIF file:
```
data_TbPmZr
_cell_length_a 3.4721
_cell_length_b 3.4721
_cell_length_c 25.3293
_cell_angle_alpha 90.00
_cell_angle_beta 90.00
_cell_angle_gamma 120.00
_space_group_name_H-M_alt 'R 3 m'
_space_group_IT_number 160
_space_group_name_Hall 'R 3 -2"'
loop_
_atom_site_label
_atom_site_fract_x
_atom_site_fract_y
_atom_site_fract_z
Tb1 0.0000 0.0000 0.0000
Pm1 0.0000 0.0000 0.7902
Zr1 0.0000 0.0000 0.2294
```

Entry 3:
Density functional theory data (GGA-PBE) for crystalline Tb2PmZr at its relaxed geometry.

Output
- Calculated formation energy: 87 meV/atom
- DOS at the Fermi energy: 18.0 states/eV per cell

CIF file:
```
data_Tb2PmZr
_cell_length_a 3.4820
_cell_length_b 3.4820
_cell_length_c 34.0461
_cell_angle_alpha 90.00
_cell_angle_beta 90.00
_cell_angle_gamma 120.00
_space_group_name_H-M_alt 'R 3 m'
_space_group_IT_number 160
_space_group_name_Hall 'R 3 -2"'
loop_
_atom_site_label
_atom_site_fract_x
_atom_site_fract_y
_atom_site_fract_z
Tb1 0.0000 0.0000 0.0000
Tb2 0.0000 0.0000 0.1784
Pm1 0.0000 0.0000 0.7559
Zr1 0.0000 0.0000 0.5892
```

Entry 4:
Density functional theory data (GGA-PBE) for crystalline TbPm2Zr at its relaxed geometry.

Output
- Calculated formation energy: 173 meV/atom
- DOS at the Fermi energy: 6.5 states/eV per cell

CIF file:
```
data_TbPm2Zr
_cell_length_a 4.0706
_cell_length_b 4.0706
_cell_length_c 7.3201
_cell_angle_alpha 90.00
_cell_angle_beta 90.00
_cell_angle_gamma 90.00
_space_group_name_H-M_alt 'P 4/m m m'
_space_group_IT_number 123
_space_group_name_Hall '-P 4 2'
loop_
_atom_site_label
_atom_site_fract_x
_atom_site_fract_y
_atom_site_fract_z
Tb1 0.0000 0.0000 0.0000
Pm1 0.5000 0.5000 0.2755
Zr1 0.0000 0.0000 0.5000
```